The following is a DFT calculation (PBE) of Nd5Zn2In2 after structural relaxation.

Crystal system = orthorhombic
Calculated density = 6.8 g cm⁻³

abc: 7.386 8.506 9.432
angles: 116.80 90.00 90.00
Fractional coordinates of all 18 atoms:
In 0.000 0.779 0.557
In 0.500 0.721 0.443
In 0.000 0.221 0.443
In 0.500 0.279 0.557
Nd 0.823 0.829 0.268
Nd 0.000 0.000 0.000
Nd 0.677 0.061 0.732
Nd 0.177 0.171 0.732
Nd 0.823 0.561 0.732
Nd 0.177 0.439 0.268
Nd 0.677 0.329 0.268
Nd 0.323 0.671 0.732
Nd 0.323 0.939 0.268
Nd 0.500 0.500 0.000
Zn 0.109 0.618 0.000
Zn 0.391 0.118 0.000
Zn 0.609 0.882 0.000
Zn 0.891 0.382 0.000

The following is a DFT calculation (PBE) of Nd2Zn5In after structural relaxation.

Crystal system = orthorhombic
Distance to the lowest polymorph of the same formula = 0.0 meV/atom
Calculated density = 7.2 g cm⁻³

abc: 4.492 8.596 9.098
angles: 90.00 90.00 105.15
Fractional coordinates of all 16 atoms:
Nd 0.206 0.413 0.250
Nd 0.794 0.587 0.750
Nd 0.000 0.000 0.500
Nd 0.000 0.000 0.000
Zn 0.815 0.629 0.108
Zn 0.396 0.792 0.250
Zn 0.345 0.691 0.984
Zn 0.185 0.371 0.892
Zn 0.655 0.309 0.016
Zn 0.604 0.208 0.750
Zn 0.655 0.309 0.484
Zn 0.815 0.629 0.392
Zn 0.185 0.371 0.608
Zn 0.345 0.691 0.516
In 0.556 0.112 0.250
In 0.444 0.888 0.750

The following is a DFT calculation (PBE) of NdZnIn after structural relaxation.

Crystal system = cubic
Calculated density = 6.9 g cm⁻³

abc: 4.791 4.791 4.791
angles: 60.00 60.00 60.00
Fractional coordinates of all 3 atoms:
Zn 0.250 0.250 0.250
Nd 0.500 0.500 0.500
In 0.000 0.000 0.000

The following is a DFT calculation (PBE) of Nd3Zn8In after structural relaxation.

Crystal system = trigonal
Calculated density = 7.3 g cm⁻³

abc: 5.594 5.594 9.530
angles: 72.93 72.93 60.00
Fractional coordinates of all 12 atoms:
Nd 0.503 0.503 0.490
Nd 0.995 0.995 0.016
Nd 0.377 0.377 0.868
Zn 0.432 0.940 0.688
Zn 0.940 0.940 0.688
Zn 0.940 0.432 0.688
Zn 0.690 0.690 0.931
Zn 0.186 0.186 0.441
Zn 0.937 0.439 0.184
Zn 0.439 0.937 0.184
Zn 0.439 0.439 0.184
In 0.871 0.871 0.387

The following is a DFT calculation (PBE) of Nd3Zn8In3 after structural relaxation.

Crystal system = orthorhombic
Calculated density = 7.4 g cm⁻³

abc: 4.454 8.597 8.597
angles: 70.06 74.99 74.99
Fractional coordinates of all 14 atoms:
In 0.000 0.779 0.221
In 0.500 0.000 0.000
In 0.000 0.221 0.779
Zn 0.654 0.610 0.082
Zn 0.834 0.793 0.540
Zn 0.166 0.207 0.460
Zn 0.346 0.918 0.390
Zn 0.654 0.082 0.610
Zn 0.346 0.390 0.918
Zn 0.834 0.540 0.793
Zn 0.166 0.460 0.207
Nd 0.804 0.196 0.196
Nd 0.500 0.500 0.500
Nd 0.196 0.804 0.804

The following is a DFT calculation (PBE) of Nd6Zn3In after structural relaxation.

Crystal system = monoclinic
Calculated density = 7.1 g cm⁻³

abc: 5.194 9.565 11.566
angles: 105.79 90.00 90.00
Fractional coordinates of all 20 atoms:
Zn 0.250 0.530 0.377
Zn 0.250 0.386 0.790
Zn 0.750 0.470 0.623
Zn 0.250 0.772 0.975
Zn 0.750 0.614 0.210
Zn 0.750 0.228 0.025
In 0.250 0.952 0.598
In 0.750 0.048 0.402
Nd 0.250 0.463 0.091
Nd 0.250 0.821 0.299
Nd 0.250 0.109 0.880
Nd 0.250 0.121 0.159
Nd 0.250 0.648 0.683
Nd 0.750 0.352 0.317
Nd 0.750 0.179 0.701
Nd 0.250 0.277 0.510
Nd 0.750 0.537 0.909
Nd 0.750 0.879 0.841
Nd 0.750 0.723 0.490
Nd 0.750 0.891 0.120

Number 1: calculated formation energy -263 meV/atom. Number 2: calculated formation energy -357 meV/atom. Number 3: calculated formation energy -419 meV/atom. Number 4: calculated formation energy -258 meV/atom. Number 5: calculated formation energy -348 meV/atom. Number 6: calculated formation energy -246 meV/atom.